No. 1
# Ti3BeHg

An optimized crystal structure of Ti3BeHg (PBE, Alexandria via LeMat-Bulk).

```
Ti3BeHg
1.0
4.9518 0.0000 0.0000
0.0000 4.9518 0.0000
0.0000 0.0000 4.9518
Be Hg Ti
1 1 3
Direct
0.5000 0.5000 0.5000
0.0000 0.0000 0.0000
0.0000 0.5000 0.0000
0.0000 0.0000 0.5000
0.5000 0.0000 0.0000
```

Properties
- Polymorph energy (0 for the lowest one): 1242 meV/atom
- Magnetic moment: 0.00 μB per cell
- Calculated formation energy: 1475 meV per atom

No. 2
# Ti3BeHg

An optimized crystal structure of Ti3BeHg (PBE, Alexandria via LeMat-Bulk).

```
Ti3BeHg
1.0
-2.8808 -1.5197 -2.9719
-2.2038 -2.0824 3.2012
-2.5069 3.5770 0.6010
Be Hg Ti
1 1 3
Direct
0.0000 0.0000 0.0000
0.5000 0.5000 0.5000
0.0000 0.5000 0.0000
0.0000 0.0000 0.5000
0.5000 0.0000 0.0000
```

Properties
- Polymorph energy (0 for the lowest one): 0 meV/atom
- Magnetic moment: 0.00 μB per cell
- Calculated formation energy: 234 meV per atom

No. 3
# TiBe2Hg

An optimized crystal structure of TiBe2Hg (PBE, Alexandria via LeMat-Bulk).

```
TiBe2Hg
1.0
6.6612 0.0000 0.0000
0.0000 6.6612 0.0000
3.3306 3.3306 2.7268
Be Hg Ti
4 2 2
Direct
0.6383 0.1250 0.2500
0.1117 0.6250 0.2500
0.3750 0.3617 0.7500
0.8750 0.8883 0.7500
0.0000 0.0000 0.0000
0.7500 0.2500 0.5000
0.5000 0.5000 0.0000
0.2500 0.7500 0.5000
```

Properties
- Magnetic moment: 0.00 μB per cell
- Calculated formation energy: 522 meV per atom

No. 4
# TiBe3Hg

An optimized crystal structure of TiBe3Hg (PBE, Alexandria via LeMat-Bulk).

```
TiBe3Hg
1.0
4.3233 0.0000 0.0000
0.0000 4.3233 0.0000
0.0000 0.0000 4.3233
Be Hg Ti
3 1 1
Direct
0.0000 0.5000 0.0000
0.0000 0.0000 0.5000
0.5000 0.0000 0.0000
0.0000 0.0000 0.0000
0.5000 0.5000 0.5000
```

Properties
- Polymorph energy (0 for the lowest one): 0 meV/atom
- Magnetic moment: 0.00 μB per cell
- Calculated formation energy: 955 meV per atom

No. 5
# TiBe3Hg

An optimized crystal structure of TiBe3Hg (PBE, Alexandria via LeMat-Bulk).

```
TiBe3Hg
1.0
-4.2542 1.5286 0.2711
-1.5407 -4.0604 -1.2836
-0.1903 -1.2981 4.3344
Be Hg Ti
3 1 1
Direct
0.0000 0.5000 0.0000
0.0000 0.0000 0.5000
0.5000 0.0000 0.0000
0.5000 0.5000 0.5000
0.0000 0.0000 0.0000
```

Properties
- Polymorph energy (0 for the lowest one): 587 meV/atom
- Magnetic moment: 1.07 μB per cell
- Calculated formation energy: 1542 meV per atom

No. 6
# BeTl2Hg

An optimized crystal structure of BeTl2Hg (PBE, Alexandria via LeMat-Bulk).

```
BeTl2Hg
1.0
-1.6238 -1.2395 3.0016
5.7759 -0.6647 2.8501
3.8917 3.6928 3.6302
Be Tl Hg
1 2 1
Direct
0.5000 0.2500 0.2500
0.0000 0.0883 0.0878
0.0000 0.4117 0.4122
0.5000 0.7500 0.7500
```

Properties
- Polymorph energy (0 for the lowest one): 0 meV/atom
- Magnetic moment: 0.00 μB per cell
- Calculated formation energy: 311 meV per atom

No. 7
# BeTl2Hg

An optimized crystal structure of BeTl2Hg (PBE, Alexandria via LeMat-Bulk).

```
BeTl2Hg
1.0
-2.0915 -5.4265 1.9519
2.1993 -1.8080 5.4337
-3.3071 3.9989 -3.2714
Be Tl Hg
1 2 1
Direct
0.4832 0.4832 0.0000
0.0088 0.0088 0.0000
0.7019 0.2019 0.5000
0.3061 0.8061 0.5000
```

Properties
- Polymorph energy (0 for the lowest one): 71 meV/atom
- Magnetic moment: 0.00 μB per cell
- Calculated formation energy: 382 meV per atom

No. 8
# BeTlHg2

An optimized crystal structure of BeTlHg2 (PBE, Alexandria via LeMat-Bulk).

```
BeTlHg2
1.0
-3.3237 -2.2037 -0.4621
0.5165 -1.7176 4.4761
-2.6601 3.6538 1.7090
Be Tl Hg
1 1 2
Direct
0.0000 0.5000 0.5000
0.5000 0.0000 0.5000
0.0000 0.0000 0.0000
0.5000 0.5000 0.0000
```

Properties
- Polymorph energy (0 for the lowest one): 254 meV/atom
- Magnetic moment: 0.00 μB per cell
- Calculated formation energy: 526 meV per atom

No. 9
# Be2TlHg

An optimized crystal structure of Be2TlHg (PBE, Alexandria via LeMat-Bulk).

```
Be2TlHg
1.0
4.7739 0.0000 0.0000
2.3870 4.1343 0.0000
2.3870 1.3781 3.8979
Be Tl Hg
2 1 1
Direct
0.0000 0.0000 0.0000
0.2500 0.2500 0.2500
0.7500 0.7500 0.7500
0.5000 0.5000 0.5000
```

Properties
- Polymorph energy (0 for the lowest one): 578 meV/atom
- Magnetic moment: 0.00 μB per cell
- Calculated formation energy: 924 meV per atom

No. 10
# BeTl2Hg

An optimized crystal structure of BeTl2Hg (PBE, Alexandria via LeMat-Bulk).

```
BeTl2Hg
1.0
-1.2290 3.4382 -3.7216
-4.7441 2.1606 -0.0892
-0.5924 5.0392 1.1992
Be Tl Hg
1 2 1
Direct
0.5000 0.5000 0.5000
0.0000 0.0000 0.0000
0.2500 0.2500 0.2500
0.7500 0.7500 0.7500
```

Properties
- Polymorph energy (0 for the lowest one): 276 meV/atom
- Magnetic moment: 0.00 μB per cell
- Calculated formation energy: 587 meV per atom

No. 11
# BeTlHg2

An optimized crystal structure of BeTlHg2 (PBE, Alexandria via LeMat-Bulk).

```
BeTlHg2
1.0
0.0454 -4.2707 -3.6867
5.1276 -2.2941 -0.5268
-3.2497 1.2653 4.4352
Be Tl Hg
1 1 2
Direct
0.7500 0.2500 0.5000
0.5000 0.5000 0.0000
0.0000 0.0000 0.0000
0.2500 0.7500 0.5000
```

Properties
- Polymorph energy (0 for the lowest one): 257 meV/atom
- Magnetic moment: 0.00 μB per cell
- Calculated formation energy: 529 meV per atom

No. 12
# Be2TlHg

An optimized crystal structure of Be2TlHg (PBE, Alexandria via LeMat-Bulk).

```
Be2TlHg
1.0
-2.8109 -3.5911 -0.7011
-4.5736 0.5797 0.1852
-2.5143 -0.2422 -3.8611
Be Tl Hg
2 1 1
Direct
0.2500 0.2500 0.2500
0.7500 0.7500 0.7500
0.5000 0.5000 0.5000
0.0000 0.0000 0.0000
```

Properties
- Polymorph energy (0 for the lowest one): 421 meV/atom
- Magnetic moment: 0.00 μB per cell
- Calculated formation energy: 768 meV per atom

No. 13
# Be2TlHg

An optimized crystal structure of Be2TlHg (PBE, Alexandria via LeMat-Bulk).

```
Be2TlHg
1.0
4.1888 0.0051 0.0350
2.1014 3.6236 0.0350
2.0537 1.1847 5.3785
Be Tl Hg
2 1 1
Direct
0.0842 0.0842 0.7448
0.4158 0.4158 0.7552
0.2500 0.2500 0.2500
0.7500 0.7500 0.7500
```

Properties
- Polymorph energy (0 for the lowest one): 0 meV/atom
- Magnetic moment: 0.00 μB per cell
- Calculated formation energy: 346 meV per atom

No. 14
# BeTl4Hg

An optimized crystal structure of BeTl4Hg (PBE, Alexandria via LeMat-Bulk).

```
BeTl4Hg
1.0
0.0000 4.5454 4.5454
4.5454 0.0000 4.5454
4.5454 4.5454 0.0000
Be Tl Hg
1 4 1
Direct
0.7500 0.7500 0.7500
0.8743 0.3752 0.3752
0.3752 0.3752 0.8743
0.3752 0.8743 0.3752
0.3752 0.3752 0.3752
0.0000 0.0000 0.0000
```

Properties
- Magnetic moment: 0.00 μB per cell
- Calculated formation energy: 588 meV per atom

No. 15
# BeTlHg2

An optimized crystal structure of BeTlHg2 (PBE, Alexandria via LeMat-Bulk).

```
BeTlHg2
1.0
-1.9265 -1.1531 2.5061
1.2627 -3.0863 -0.4494
6.3282 1.7628 5.6759
Be Tl Hg
1 1 2
Direct
0.5000 0.5000 0.9335
0.0000 0.0000 0.4974
0.0000 0.0000 0.8581
0.5000 0.5000 0.2111
```

Properties
- Polymorph energy (0 for the lowest one): 18 meV/atom
- Magnetic moment: 0.00 μB per cell
- Calculated formation energy: 290 meV per atom

No. 16
# Be2TlHg

An optimized crystal structure of Be2TlHg (PBE, Alexandria via LeMat-Bulk).

```
Be2TlHg
1.0
3.3095 0.0000 0.0000
0.0000 3.3103 0.0000
0.0000 0.0000 6.6149
Be Tl Hg
2 1 1
Direct
0.0000 0.0000 0.0693
0.0000 0.0000 0.4307
0.5000 0.5000 0.7500
0.5000 0.5000 0.2500
```

Properties
- Polymorph energy (0 for the lowest one): 346 meV/atom
- Magnetic moment: 0.00 μB per cell
- Calculated formation energy: 692 meV per atom

No. 17
# BeTlHg2

An optimized crystal structure of BeTlHg2 (PBE, Alexandria via LeMat-Bulk).

```
BeTlHg2
1.0
-2.0564 -5.4659 2.4389
6.1255 1.5672 -0.2743
1.3277 -0.2568 3.3382
Be Tl Hg
1 1 2
Direct
0.0000 0.5000 0.5000
0.5000 0.0000 0.5000
0.0000 0.0000 0.0000
0.5000 0.5000 0.0000
```

Properties
- Polymorph energy (0 for the lowest one): 238 meV/atom
- Magnetic moment: 0.00 μB per cell
- Calculated formation energy: 510 meV per atom

No. 18
# Be2TlHg

An optimized crystal structure of Be2TlHg (PBE, Alexandria via LeMat-Bulk).

```
Be2TlHg
1.0
3.0144 0.0000 0.0000
0.0000 6.0409 0.0000
0.0000 0.0000 4.1339
Be Tl Hg
2 1 1
Direct
0.0000 0.0000 0.0000
0.5000 0.5000 0.0000
0.0000 0.5000 0.5000
0.5000 0.0000 0.5000
```

Properties
- Polymorph energy (0 for the lowest one): 368 meV/atom
- Magnetic moment: 0.00 μB per cell
- Calculated formation energy: 715 meV per atom

No. 19
# BeTl2Hg

An optimized crystal structure of BeTl2Hg (PBE, Alexandria via LeMat-Bulk).

```
BeTl2Hg
1.0
-1.9777 -1.0662 -2.5958
-1.1820 -2.2904 1.8414
-6.6756 5.6637 2.7596
Be Tl Hg
1 2 1
Direct
0.5000 0.5000 0.2500
0.0000 0.0000 0.0525
0.0000 0.0000 0.4475
0.5000 0.5000 0.7500
```

Properties
- Polymorph energy (0 for the lowest one): 124 meV/atom
- Magnetic moment: 0.00 μB per cell
- Calculated formation energy: 435 meV per atom

No. 20
# Be2TlHg

An optimized crystal structure of Be2TlHg (PBE, Alexandria via LeMat-Bulk).

```
Be2TlHg
1.0
5.3429 -0.0478 0.1471
-1.1292 5.2225 0.1471
1.4224 1.7468 2.8486
Be Tl Hg
2 1 1
Direct
0.0000 0.0000 0.0000
0.5000 0.5000 0.0000
0.0000 0.5000 0.5000
0.5000 0.0000 0.5000
```

Properties
- Polymorph energy (0 for the lowest one): 364 meV/atom
- Magnetic moment: 0.00 μB per cell
- Calculated formation energy: 710 meV per atom

| no. | VASP energy (eV per atom) |
| --- | --- |
| 1 | -4.067 |
| 2 | -5.309 |
| 3 | -3.390 |
| 4 | -2.920 |
| 5 | -2.333 |
| 6 | -1.879 |
| 7 | -1.808 |
| 8 | -1.148 |
| 9 | -1.606 |
| 10 | -1.603 |
| 11 | -1.145 |
| 12 | -1.762 |
| 13 | -2.184 |
| 14 | -1.660 |
| 15 | -1.384 |
| 16 | -1.838 |
| 17 | -1.164 |
| 18 | -1.816 |
| 19 | -1.755 |
| 20 | -1.820 |